# RbAgP2S | the Alexandria database | PBE | relaxed
# Formation energy without anion corrections, eV per atom: 0.548
# Energy relative to the lowest polymorph listed for this composition, meV/atom: 0.0
# Total magnetization, μB/f.u.: 1.2
data_RbAgP2S
_chemical_formula_sum 'Rb1 Ag1 P2 S1'
_cell_length_a 4.923
_cell_length_b 4.923
_cell_length_c 5.284
_cell_angle_alpha 90.00
_cell_angle_beta 90.00
_cell_angle_gamma 90.00
_space_group_name_H-M_alt 'P 4/m m m'
_space_group_IT_number 123
_space_group_name_Hall '-P 4 2'
loop_
_atom_site_label
_atom_site_type_symbol
_atom_site_fract_x
_atom_site_fract_y
_atom_site_fract_z
Rb1 Rb 0.000 0.000 0.000
Ag1 Ag 0.500 0.500 0.500
P1 P 0.000 0.500 0.500
S1 S 0.500 0.500 0.000